Computed, not measured: a geometry-optimized LaTh4Hg5 structure at the PBE-GGA level of DFT.

```
LaTh4Hg5
1.0
3.838 0.000 0.000
0.000 3.838 0.000
0.000 0.000 19.287
La Th Hg
1 4 5
Direct
0.000 0.000 0.000 La
0.000 0.000 0.203 Th
0.000 0.000 0.401 Th
0.000 0.000 0.599 Th
0.000 0.000 0.797 Th
0.500 0.500 0.103 Hg
0.500 0.500 0.302 Hg
0.500 0.500 0.500 Hg
0.500 0.500 0.698 Hg
0.500 0.500 0.897 Hg
```

Calculated values
**Total energy**: -3.863 eV per atom

***

Computed, not measured: a geometry-optimized Ti2Ag2Au structure at the PBE-GGA level of DFT.

```
Ti2Ag2Au
1.0
7.545 0.000 0.000
0.000 7.545 0.000
0.000 0.000 3.141
Ti Ag Au
4 4 2
Direct
0.170 0.330 0.000 Ti
0.330 0.830 0.000 Ti
0.670 0.170 0.000 Ti
0.830 0.670 0.000 Ti
0.129 0.629 0.500 Ag
0.371 0.129 0.500 Ag
0.629 0.871 0.500 Ag
0.871 0.371 0.500 Ag
0.000 0.000 0.500 Au
0.500 0.500 0.500 Au
```

Calculated values
**Energy relative to the lowest polymorph listed for this composition**: 0 meV per atom

***

Computed, not measured: a geometry-optimized YInP2Cl structure at the PBE-GGA level of DFT.

```
YInP2Cl
1.0
5.001 0.000 0.000
0.000 5.001 0.000
0.000 0.000 5.013
Y In P Cl
1 1 2 1
Direct
0.000 0.000 0.000 Y
0.500 0.500 0.500 In
0.000 0.500 0.500 P
0.500 0.000 0.500 P
0.500 0.500 0.000 Cl
```

Calculated values
**Formation energy (no corrections)**: -0.05 eV/atom
**Energy relative to the lowest polymorph listed for this composition**: 96 meV per atom